No. 1
Density functional theory data (PBE-GGA) for crystalline Gd2Er2CI5 at its relaxed geometry.

Computed properties:
The polymorph energy (0 for the lowest one) is 0.00 kcal/mol of atoms. The calculation puts the size of the total moment at 0.26 Bohr magnetons per cell.

POSCAR file:
```
Gd2Er2CI5
1.0
10.569 -1.990 0.000
10.569 1.990 0.000
-1.716 0.000 8.428
I Gd Er C
5 2 2 1
Cartesian
2.635 0.000 2.745 I
9.711 0.000 4.214 I
17.620 0.000 1.482 I
1.802 0.000 6.945 I
16.787 0.000 5.682 I
20.804 0.000 1.621 Gd
-1.382 0.000 6.807 Gd
6.549 0.000 7.952 Er
12.872 0.000 0.475 Er
10.569 0.000 0.000 C
```

***

No. 2
Density functional theory data (PBE-GGA) for crystalline PuBr2Cl2 at its relaxed geometry.

Computed properties:
The total energy comes out at -28.56 eV per formula unit. The calculation puts the size of the total moment at 8.00 Bohr magnetons per cell.

POSCAR file:
```
PuBr2Cl2
1.0
7.659 -0.600 -0.895
-1.074 -1.234 7.560
-3.718 -5.031 -4.549
Cl Br Pu
4 4 2
Cartesian
2.922 -3.734 2.923 Cl
1.650 -5.567 -3.163 Cl
-0.055 -3.131 -0.807 Cl
1.217 -1.298 5.278 Cl
3.957 -3.369 -0.712 Br
1.317 -0.367 1.333 Br
-1.090 -3.496 2.827 Br
5.268 -1.468 5.332 Br
-1.193 -1.560 0.750 Pu
-3.599 -4.705 2.261 Pu
```

***

No. 3
Density functional theory data (PBE-GGA) for crystalline UBeGa at its relaxed geometry.

Computed properties:
The polymorph energy (0 for the lowest one) is 7.31 kcal/mol of atoms. The calculation puts the size of the total moment at 2.87 Bohr magnetons per cell.

POSCAR file:
```
UBeGa
1.0
-1.844 -1.905 3.577
-4.338 -1.002 0.001
-1.302 -4.255 -0.165
U Be Ga
1 1 1
Cartesian
-5.613 -5.371 2.560 U
-1.871 -1.790 0.853 Be
0.000 0.000 0.000 Ga
```

***

No. 4
Density functional theory data (PBE-GGA) for crystalline CuAg4 at its relaxed geometry.

Computed properties:
The polymorph energy (0 for the lowest one) is 0.68 kcal/mol of atoms.

POSCAR file:
```
CuAg4
1.0
-1.031 2.149 -4.391
-3.394 2.439 -2.738
5.287 9.407 5.908
Ag Cu
8 2
Cartesian
0.835 5.915 0.158 Ag
2.778 8.141 2.545 Ag
1.250 12.836 -0.462 Ag
1.998 10.420 1.029 Ag
-1.136 3.574 -2.251 Ag
0.026 8.080 -1.379 Ag
-0.389 1.158 -0.759 Ag
-1.917 5.853 -3.766 Ag
1.658 3.541 1.749 Cu
-0.797 10.453 -2.971 Cu
```

***

No. 5
Density functional theory data (PBE-GGA) for crystalline TmHfPO at its relaxed geometry.

Computed properties:
The polymorph energy (0 for the lowest one) is 4.44 kcal/mol of atoms. The calculation puts the size of the total moment at 0.01 Bohr magnetons per cell.

POSCAR file:
```
TmHfPO
1.0
3.859 0.000 0.000
0.000 7.260 0.000
0.000 0.000 5.591
Tm O P Hf
2 2 2 2
Cartesian
0.000 2.080 5.324 Tm
0.000 5.180 2.528 Tm
1.929 6.084 2.044 O
1.929 1.176 4.839 O
0.000 4.792 5.306 P
0.000 2.467 2.510 P
1.929 0.807 2.724 Hf
1.929 6.453 5.519 Hf
```

***

No. 6
Density functional theory data (PBE-GGA) for crystalline Ba3Zr2S7 at its relaxed geometry.

Computed properties:
The polymorph energy (0 for the lowest one) is 0.00 kcal/mol of atoms. The calculation puts the size of the total moment at 0.00 Bohr magnetons per cell.

POSCAR file:
```
Ba3Zr2S7
1.0
-6.673 2.046 1.573
-0.595 -5.463 4.581
8.944 14.752 18.752
S Zr Ba
28 8 12
Cartesian
7.792 10.611 19.251 S
-1.854 -3.908 3.958 S
0.557 -1.322 4.083 S
0.281 6.989 8.370 S
-0.561 -0.391 7.438 S
-2.903 -0.503 4.610 S
0.532 7.614 17.930 S
1.846 7.331 14.567 S
7.936 13.089 16.638 S
4.838 8.513 18.757 S
3.741 6.171 7.844 S
2.343 6.375 11.179 S
4.753 14.366 17.747 S
4.579 11.838 20.297 S
-3.013 1.767 10.497 S
5.203 8.582 10.908 S
-2.482 2.433 2.578 S
-0.667 4.960 13.728 S
-3.162 2.822 6.150 S
5.029 6.054 13.459 S
3.320 3.235 9.875 S
2.237 11.727 17.469 S
1.008 1.663 2.114 S
1.144 3.721 6.976 S
4.689 9.569 14.410 S
-0.170 4.005 10.339 S
1.990 9.809 11.954 S
-5.414 0.491 2.196 S
1.755 5.044 9.044 Zr
-1.868 3.341 12.112 Zr
-0.079 6.292 15.863 Zr
-1.215 -2.116 5.707 Zr
2.891 13.451 19.199 Zr
-4.264 1.650 4.198 Zr
5.939 9.685 20.708 Zr
3.544 7.995 12.795 Zr
0.828 1.004 9.852 Ba
1.981 9.568 19.877 Ba
-0.305 1.768 5.029 Ba
0.848 10.331 15.054 Ba
-2.394 4.985 8.258 Ba
4.069 6.351 16.649 Ba
-5.488 -2.580 4.647 Ba
-0.651 7.507 11.716 Ba
-3.721 0.162 7.921 Ba
5.397 11.173 16.985 Ba
-1.780 -0.837 1.508 Ba
2.327 3.828 13.190 Ba
```

***

No. 7
Density functional theory data (PBE-GGA) for crystalline Hf2S at its relaxed geometry.

Computed properties:
The total energy comes out at -27.13 eV per formula unit. The calculation puts the size of the total moment at 0.02 Bohr magnetons per cell.

POSCAR file:
```
Hf2S
1.0
3.381 0.000 0.000
-1.690 2.928 0.000
0.000 0.000 11.781
Hf S
4 2
Cartesian
0.000 1.952 10.025 Hf
0.000 1.952 1.756 Hf
1.690 0.976 4.128 Hf
1.690 0.976 7.653 Hf
0.000 0.000 0.000 S
0.000 0.000 5.891 S
```

***

No. 8
Density functional theory data (PBE-GGA) for crystalline GdMgZn at its relaxed geometry.

Computed properties:
The total energy comes out at -7.86 eV per formula unit. The calculation puts the size of the total moment at 0.01 Bohr magnetons per cell.

POSCAR file:
```
GdMgZn
1.0
-0.627 6.056 -2.330
0.657 0.889 -6.260
-7.577 -0.322 -0.950
Zn Gd Mg
4 4 4
Cartesian
-3.506 1.451 -5.285 Zn
-5.660 2.295 -6.736 Zn
-6.049 4.506 -5.141 Zn
-1.100 2.740 -2.050 Zn
-0.955 0.601 -4.331 Gd
-3.345 3.847 -3.434 Gd
-3.633 0.782 -1.977 Gd
-5.941 5.258 -8.237 Gd
-3.563 4.232 -6.523 Mg
-0.710 3.614 -5.515 Mg
-0.897 6.142 -3.484 Mg
-6.036 1.830 -3.893 Mg
```

***

No. 9
Density functional theory data (PBE-GGA) for crystalline Tm2Si at its relaxed geometry.

Computed properties:
The total energy comes out at -15.98 eV per formula unit. The calculation puts the size of the total moment at 0.54 Bohr magnetons per cell.

POSCAR file:
```
Tm2Si
1.0
7.719 0.000 0.000
-3.860 6.685 0.000
0.000 0.000 4.158
Tm Si
6 3
Cartesian
2.838 4.915 0.000 Tm
2.044 0.000 0.000 Tm
1.551 2.686 2.079 Tm
4.618 0.000 2.079 Tm
-2.309 3.999 2.079 Tm
-1.022 1.770 0.000 Tm
3.860 2.228 0.000 Si
0.000 0.000 2.079 Si
0.000 4.457 0.000 Si
```

***

No. 10
Density functional theory data (PBE-GGA) for crystalline DyYPt2 at its relaxed geometry.

Computed properties:
The total energy comes out at -28.27 eV per formula unit. The calculation puts the size of the total moment at 0.00 Bohr magnetons per cell.

POSCAR file:
```
DyYPt2
1.0
4.505 0.000 0.000
0.000 5.573 0.000
0.000 0.000 7.049
Pt Y Dy
4 2 2
Cartesian
2.253 2.249 3.836 Pt
2.253 3.324 0.311 Pt
0.000 5.041 6.737 Pt
0.000 0.532 3.212 Pt
0.000 2.175 5.768 Y
0.000 3.398 2.243 Y
2.253 4.961 4.808 Dy
2.253 0.612 1.284 Dy
```

***

No. 11
Density functional theory data (PBE-GGA) for crystalline Dy2YCo7Ni2 at its relaxed geometry.

Computed properties:
The total energy comes out at -79.15 eV per formula unit. The calculation puts the size of the total moment at 8.15 Bohr magnetons per cell.

POSCAR file:
```
Dy2YCo7Ni2
1.0
2.463 1.422 8.182
-2.463 1.422 8.182
0.000 -2.844 8.182
Co Ni Y Dy
7 2 1 2
Cartesian
0.000 0.000 12.273 Co
-1.234 0.712 14.361 Co
1.234 -0.712 10.186 Co
0.000 1.425 10.186 Co
1.234 0.712 14.361 Co
-1.234 -0.712 10.186 Co
0.000 -1.425 14.361 Co
0.000 0.000 16.359 Ni
0.000 0.000 8.188 Ni
0.000 0.000 0.000 Y
0.000 0.000 3.422 Dy
0.000 0.000 21.125 Dy
```

***

No. 12
Density functional theory data (PBE-GGA) for crystalline Rb2MoCl6 at its relaxed geometry.

Computed properties:
The total energy comes out at -36.59 eV per formula unit. The calculation puts the size of the total moment at 2.00 Bohr magnetons per cell.

POSCAR file:
```
Rb2MoCl6
1.0
0.000 5.061 5.061
5.061 0.000 5.061
5.061 5.061 0.000
Rb Cl Mo
2 6 1
Cartesian
7.591 7.591 7.591 Rb
2.530 2.530 2.530 Rb
5.061 5.061 7.724 Cl
2.397 5.061 5.061 Cl
5.061 7.724 5.061 Cl
5.061 2.397 5.061 Cl
7.724 5.061 5.061 Cl
5.061 5.061 2.397 Cl
0.000 0.000 0.000 Mo
```